Record 1
The following is a SCAN calculation of a crystal of CaFe2Co relaxed with PBEsol, from Alexandria via LeMat-Bulk.

Symmetry = Pmmm
DOS(E_F) = 0.73 states/eV per atom
Formation energy = 2.27 eV/f.u.

Cell lengths 3.037, 4.343, 4.193 Å; angles 90.00, 90.00, 90.00 degrees
Each line ends with the local moment (μB).
Sites, in units of the cell vectors:
Co (0.000, 0.500, 0.500)  1.39
Fe (0.000, 0.000, 0.000)  2.63
Fe (0.500, 0.000, 0.500)  2.87
Ca (0.500, 0.500, 0.000)  -0.18

=====

Record 2
The following is a SCAN calculation of a crystal of CaFe2Co2 relaxed with PBEsol, from Alexandria via LeMat-Bulk.

Symmetry = I4/mmm
DOS(E_F) = 0.59 states/eV per atom
Formation energy = 1.47 eV/f.u.

Cell lengths 3.973, 3.973, 5.292 Å; angles 112.05, 112.05, 90.00 degrees
Each line ends with the local moment (μB).
Sites, in units of the cell vectors:
Fe (0.623, 0.623, 0.247)  2.50
Fe (0.377, 0.377, 0.753)  2.50
Co (0.250, 0.750, 0.500)  1.58
Co (0.750, 0.250, 0.500)  1.58
Ca (0.000, 0.000, 0.000)  -0.10

=====

Record 3
The following is a SCAN calculation of a crystal of CaFe2Co relaxed with PBEsol, from Alexandria via LeMat-Bulk.

Symmetry = Cmmm
DOS(E_F) = 0.65 states/eV per atom
Formation energy = 2.70 eV/f.u.

Cell lengths 2.525, 4.983, 4.983 Å; angles 119.24, 90.00, 90.00 degrees
Each line ends with the local moment (μB).
Sites, in units of the cell vectors:
Fe (0.000, 0.000, 0.500)  2.73
Fe (0.000, 0.500, 0.000)  2.73
Ca (0.500, 0.000, 0.000)  -0.25
Co (0.500, 0.500, 0.500)  1.68

=====

Record 4
The following is a SCAN calculation of a crystal of CaFeCo relaxed with PBEsol, from Alexandria via LeMat-Bulk.

Symmetry = I4mm
DOS(E_F) = 0.90 states/eV per atom
Formation energy = 0.89 eV/f.u.

Cell lengths 3.133, 3.133, 5.561 Å; angles 106.36, 106.36, 90.00 degrees
Each line ends with the local moment (μB).
Sites, in units of the cell vectors:
Ca (0.000, 0.000, 0.999)  -0.14
Co (0.281, 0.281, 0.563)  1.60
Fe (0.719, 0.719, 0.438)  2.82

=====

Record 5
The following is a SCAN calculation of a crystal of Ca2FeCoMo relaxed with PBEsol, from Alexandria via LeMat-Bulk.

Symmetry = P4/mmm
DOS(E_F) = 0.59 states/eV per atom
Formation energy = 5.96 eV/f.u.

Cell lengths 4.055, 5.219, 5.219 Å; angles 90.00, 90.00, 90.00 degrees
Each line ends with the local moment (μB).
Sites, in units of the cell vectors:
Ca (0.000, 0.000, 0.500)  -0.01
Ca (0.000, 0.500, 0.000)  -0.01
Co (0.500, 0.000, 0.000)  1.84
Mo (0.500, 0.500, 0.500)  3.56
Fe (0.000, 0.000, 0.000)  2.60

=====

Record 6
The following is a SCAN calculation of a crystal of Ca6FeCo3O12 relaxed with PBEsol, from Alexandria via LeMat-Bulk.

Symmetry = R32
Uncorrected formation energy = -2.466 eV per atom

Cell lengths 6.212, 6.212, 6.212 Å; angles 92.02, 92.02, 92.02 degrees
Each line ends with the local moment (μB).
Sites, in units of the cell vectors:
Ca (0.634, 0.000, 0.366)  0.00
Ca (0.366, 0.634, 0.000)  0.00
Ca (0.129, 0.871, 0.500)  -0.01
Ca (0.000, 0.366, 0.634)  0.00
Ca (0.500, 0.129, 0.871)  -0.01
Ca (0.871, 0.500, 0.129)  -0.01
O (0.963, 0.165, 0.294)  -0.01
O (0.165, 0.294, 0.963)  -0.01
O (0.778, 0.653, 0.460)  -0.12
O (0.653, 0.460, 0.778)  -0.12
O (0.706, 0.835, 0.037)  -0.01
O (0.037, 0.706, 0.835)  -0.01
O (0.460, 0.778, 0.653)  -0.12
O (0.222, 0.540, 0.347)  -0.12
O (0.540, 0.347, 0.222)  -0.12
O (0.835, 0.037, 0.706)  -0.01
O (0.294, 0.963, 0.165)  -0.01
O (0.347, 0.222, 0.540)  -0.12
Co (0.251, 0.251, 0.251)  0.02
Co (0.749, 0.749, 0.749)  0.02
Co (0.000, 0.000, 0.000)  -0.03
Fe (0.500, 0.500, 0.500)  -4.02

=====

Record 7
The following is a SCAN calculation of a crystal of Sr7CaFe7CoO24 relaxed with PBEsol, from Alexandria via LeMat-Bulk.

Symmetry = R3m
Uncorrected formation energy = -2.275 eV per atom
DOS(E_F) = 0.24 states/eV per atom

Cell lengths 7.559, 7.559, 7.559 Å; angles 89.99, 89.99, 89.99 degrees
Each line ends with the local moment (μB).
Sites, in units of the cell vectors:
Sr (0.749, 0.251, 0.251)  0.01
Sr (0.749, 0.749, 0.251)  0.01
Sr (0.251, 0.749, 0.749)  0.01
Sr (0.251, 0.749, 0.251)  0.01
Sr (0.251, 0.251, 0.749)  0.01
Sr (0.251, 0.251, 0.251)  0.01
Sr (0.749, 0.251, 0.749)  0.01
O (0.503, 0.751, 0.998)  0.11
O (0.503, 0.998, 0.751)  0.11
O (0.999, 0.999, 0.250)  0.13
O (0.501, 0.249, 0.999)  0.11
O (0.998, 0.751, 0.503)  0.11
O (0.750, 0.998, 0.998)  0.13
O (0.249, 0.501, 0.999)  0.11
O (0.751, 0.503, 0.998)  0.11
O (0.501, 0.248, 0.501)  0.10
O (0.501, 0.501, 0.248)  0.10
O (0.998, 0.503, 0.751)  0.11
O (0.249, 0.999, 0.501)  0.11
O (0.248, 0.501, 0.501)  0.10
O (0.250, 0.999, 0.999)  0.13
O (0.751, 0.998, 0.503)  0.11
O (0.999, 0.249, 0.501)  0.11
O (0.503, 0.752, 0.503)  0.10
O (0.501, 0.999, 0.249)  0.11
O (0.752, 0.503, 0.503)  0.10
O (0.998, 0.998, 0.750)  0.13
O (0.998, 0.750, 0.998)  0.13
O (0.999, 0.501, 0.249)  0.11
O (0.999, 0.250, 0.999)  0.13
O (0.503, 0.503, 0.752)  0.10
Fe (0.501, 0.999, 0.999)  3.16
Fe (0.999, 0.501, 0.999)  3.16
Fe (0.999, 0.501, 0.501)  3.10
Fe (0.501, 0.501, 0.999)  3.10
Fe (0.999, 0.999, 0.999)  3.20
Fe (0.999, 0.999, 0.501)  3.16
Fe (0.501, 0.999, 0.501)  3.10
Ca (0.748, 0.748, 0.748)  0.01
Co (0.501, 0.501, 0.501)  0.71

=====

Record 8
The following is a SCAN calculation of a crystal of SrCa7FeCo7O24 relaxed with PBEsol, from Alexandria via LeMat-Bulk.

Symmetry = R3m
Uncorrected formation energy = -1.985 eV per atom
DOS(E_F) = 0.41 states/eV per atom

Cell lengths 7.429, 7.429, 7.429 Å; angles 89.99, 89.99, 89.99 degrees
Each line ends with the local moment (μB).
Sites, in units of the cell vectors:
O (0.497, 0.003, 0.750)  0.12
O (0.750, 0.003, 0.497)  0.12
O (0.001, 0.250, 0.499)  0.13
O (0.001, 0.249, 0.001)  0.08
O (0.750, 0.497, 0.003)  0.12
O (0.003, 0.497, 0.750)  0.12
O (0.499, 0.250, 0.001)  0.13
O (0.001, 0.001, 0.249)  0.08
O (0.497, 0.750, 0.003)  0.12
O (0.497, 0.750, 0.497)  0.12
O (0.497, 0.497, 0.750)  0.12
O (0.249, 0.001, 0.001)  0.08
O (0.250, 0.499, 0.499)  0.13
O (0.499, 0.250, 0.499)  0.13
O (0.752, 0.003, 0.003)  0.07
O (0.003, 0.003, 0.752)  0.07
O (0.499, 0.499, 0.250)  0.13
O (0.250, 0.499, 0.001)  0.13
O (0.250, 0.001, 0.499)  0.13
O (0.003, 0.750, 0.497)  0.12
O (0.499, 0.001, 0.250)  0.13
O (0.750, 0.497, 0.497)  0.12
O (0.001, 0.499, 0.250)  0.13
O (0.003, 0.752, 0.003)  0.07
Co (0.001, 0.001, 0.499)  1.75
Co (0.499, 0.001, 0.499)  1.86
Co (0.001, 0.499, 0.001)  1.75
Co (0.001, 0.499, 0.499)  1.86
Co (0.499, 0.499, 0.499)  2.07
Co (0.499, 0.001, 0.001)  1.75
Co (0.499, 0.499, 0.001)  1.86
Ca (0.750, 0.750, 0.250)  0.01
Ca (0.250, 0.750, 0.750)  0.01
Ca (0.250, 0.250, 0.750)  0.01
Ca (0.750, 0.250, 0.250)  0.01
Ca (0.750, 0.250, 0.750)  0.01
Ca (0.250, 0.250, 0.250)  0.01
Ca (0.250, 0.750, 0.250)  0.01
Fe (0.001, 0.001, 0.001)  2.95
Sr (0.750, 0.750, 0.750)  0.01

=====

Record 9
The following is a SCAN calculation of a crystal of Sr2Ca6FeCo7O24 relaxed with PBEsol, from Alexandria via LeMat-Bulk.

Symmetry = Amm2
Uncorrected formation energy = -1.988 eV per atom
DOS(E_F) = 0.42 states/eV per atom

Cell lengths 7.447, 7.446, 7.447 Å; angles 90.00, 89.98, 90.00 degrees
Each line ends with the local moment (μB).
Sites, in units of the cell vectors:
Fe (0.002, 0.000, 0.002)  2.96
Co (0.498, 0.500, 0.498)  2.11
Co (0.002, 0.500, 0.499)  1.86
Co (0.499, 0.000, 0.499)  1.86
Co (0.499, 0.000, 0.002)  1.75
Co (0.499, 0.500, 0.002)  1.86
Co (0.002, 0.500, 0.002)  1.75
Co (0.002, 0.000, 0.499)  1.75
O (0.750, 0.500, 0.006)  0.12
O (0.006, 0.500, 0.750)  0.12
O (0.496, 0.249, 0.004)  0.12
O (0.750, 0.500, 0.493)  0.13
O (0.498, 0.500, 0.250)  0.13
O (0.496, 0.250, 0.496)  0.13
O (0.249, 0.000, 0.002)  0.08
O (0.004, 0.249, 0.496)  0.12
O (0.496, 0.751, 0.004)  0.12
O (0.006, 0.000, 0.752)  0.07
O (0.498, 0.000, 0.250)  0.13
O (0.004, 0.248, 0.004)  0.07
O (0.002, 0.000, 0.249)  0.08
O (0.493, 0.500, 0.750)  0.13
O (0.002, 0.500, 0.249)  0.13
O (0.751, 0.000, 0.493)  0.12
O (0.249, 0.500, 0.002)  0.13
O (0.250, 0.000, 0.498)  0.13
O (0.752, 0.000, 0.006)  0.07
O (0.493, 0.000, 0.751)  0.12
O (0.004, 0.752, 0.004)  0.07
O (0.496, 0.750, 0.496)  0.13
O (0.004, 0.751, 0.496)  0.12
O (0.250, 0.500, 0.498)  0.13
Ca (0.250, 0.750, 0.750)  0.01
Ca (0.250, 0.250, 0.750)  0.01
Ca (0.250, 0.250, 0.250)  0.01
Ca (0.750, 0.250, 0.250)  0.01
Ca (0.250, 0.750, 0.250)  0.01
Ca (0.750, 0.750, 0.250)  0.01
Sr (0.750, 0.250, 0.750)  0.01
Sr (0.750, 0.750, 0.750)  0.01

=====

Record 10
The following is a SCAN calculation of a crystal of CaFeCo2Pt relaxed with PBEsol, from Alexandria via LeMat-Bulk.

Symmetry = P4/mmm
DOS(E_F) = 0.68 states/eV per atom
Formation energy = 2.25 eV/f.u.

Cell lengths 4.627, 4.627, 4.637 Å; angles 90.00, 90.00, 90.00 degrees
Each line ends with the local moment (μB).
Sites, in units of the cell vectors:
Ca (0.500, 0.500, 0.500)  -0.07
Co (0.000, 0.500, 0.000)  2.21
Co (0.500, 0.000, 0.000)  2.21
Pt (0.000, 0.000, 0.000)  0.42
Fe (0.000, 0.000, 0.500)  3.25

=====

| no. | total magnetic moment (μB/f.u.) |
| --- | --- |
| 1 | 6.342 |
| 2 | 7.796 |
| 3 | 6.495 |
| 4 | 3.917 |
| 5 | 8.353 |
| 6 | 5.000 |
| 7 | 26.266 |
| 8 | 19.467 |
| 9 | 19.542 |
| 10 | 7.741 |